[1]
DFT (GGA-PBE) results for an optimized crystal structure of Cs2IrCl5O.

Output
Formation energy without anion corrections (eV/atom): -1.1607

Structure (CIF):
```
data_Cs2IrCl5O
_symmetry_space_group_name_H-M 'C m c m'
_symmetry_Int_Tables_number 63
_symmetry_space_group_name_Hall '-C 2c 2'
_cell_length_a 7.243
_cell_length_b 17.141
_cell_length_c 8.880
_cell_angle_alpha 90.00
_cell_angle_beta 90.00
_cell_angle_gamma 90.00
loop_
_atom_site_label
_atom_site_type_symbol
_atom_site_fract_x
_atom_site_fract_y
_atom_site_fract_z
Cs1 Cs 0.000 0.029 0.250
Cs2 Cs 0.000 0.273 0.750
Ir1 Ir 0.000 0.386 0.250
Cl1 Cl 0.000 0.245 0.250
Cl2 Cl 0.233 0.381 0.062
O1 O 0.000 0.491 0.250
```

---

[2]
DFT (GGA-PBE) results for an optimized crystal structure of Dy2ErSc8.

Output
Formation energy from the elements (eV per atom): 0.141

Structure (CIF):
```
data_Dy2ErSc8
_symmetry_space_group_name_H-M 'C 1 2/m 1'
_symmetry_Int_Tables_number 12
_symmetry_space_group_name_Hall '-C 2y'
_cell_length_a 8.695
_cell_length_b 15.984
_cell_length_c 5.492
_cell_angle_alpha 90.00
_cell_angle_beta 128.83
_cell_angle_gamma 90.00
loop_
_atom_site_label
_atom_site_type_symbol
_atom_site_fract_x
_atom_site_fract_y
_atom_site_fract_z
Dy1 Dy 0.000 0.191 0.000
Er1 Er 0.000 0.500 0.500
Sc1 Sc 0.000 0.298 0.500
Sc2 Sc 0.007 0.000 0.249
Sc3 Sc 0.224 0.373 0.221
```

---

[3]
DFT (GGA-PBE) results for an optimized crystal structure of MnAlRe2.

Output
Formation energy from the elements (eV per atom): -0.077

Structure (CIF):
```
data_MnAlRe2
_symmetry_space_group_name_H-M 'F -4 3 m'
_symmetry_Int_Tables_number 216
_symmetry_space_group_name_Hall 'F -4 2 3'
_cell_length_a 6.035
_cell_length_b 6.035
_cell_length_c 6.035
_cell_angle_alpha 90.00
_cell_angle_beta 90.00
_cell_angle_gamma 90.00
loop_
_atom_site_label
_atom_site_type_symbol
_atom_site_fract_x
_atom_site_fract_y
_atom_site_fract_z
Mn1 Mn 0.000 0.000 0.000
Al1 Al 0.250 0.250 0.750
Re1 Re 0.000 0.000 0.500
Re2 Re 0.250 0.250 0.250
```

---

[4]
DFT (GGA-PBE) results for an optimized crystal structure of LiPmNbRu.

Output
Formation energy from the elements (eV per atom): 0.103

Structure (CIF):
```
data_LiPmNbRu
_symmetry_space_group_name_H-M 'F -4 3 m'
_symmetry_Int_Tables_number 216
_symmetry_space_group_name_Hall 'F -4 2 3'
_cell_length_a 6.709
_cell_length_b 6.709
_cell_length_c 6.709
_cell_angle_alpha 90.00
_cell_angle_beta 90.00
_cell_angle_gamma 90.00
loop_
_atom_site_label
_atom_site_type_symbol
_atom_site_fract_x
_atom_site_fract_y
_atom_site_fract_z
Li1 Li 0.000 0.000 0.000
Pm1 Pm 0.250 0.250 0.750
Nb1 Nb 0.250 0.250 0.250
Ru1 Ru 0.000 0.000 0.500
```